# 1
Computed, not measured: crystalline Tb8TlCd2 at its relaxed geometry at the PBE level of DFT. Values from VASP.

Values from the calculation:
- symmetry = No. 12
- total magnetization (Bohr magnetons per cell) = 0.00
- theoretical density (kg/m³) = 8772
- formation enthalpy at 0 K (kJ per mole of atoms) = -17.1

```
&SYSTEM
  ibrav = 0, nat = 11, ntyp = 3
/
ATOMIC_SPECIES
Tb 158.93 Tb.upf
Cd 112.41 Cd.upf
Tl 204.38 Tl.upf
CELL_PARAMETERS angstrom
5.083 0.000 -1.641
-1.319 7.433 -4.085
-0.024 -0.143 8.615
ATOMIC_POSITIONS angstrom
Tb 1.536 0.281 4.755
Tb 4.345 1.963 4.766
Tb 2.204 7.009 -1.866
Tb 3.284 5.939 1.478
Tb 1.329 3.942 4.116
Tb -0.606 5.328 -1.877
Tb 0.456 1.351 1.411
Tb 2.410 3.348 -1.227
Cd 3.416 2.791 1.889
Cd 0.323 4.499 1.000
Tl 2.541 0.000 -0.821
```

---

# 2
Computed, not measured: crystalline VReBr3 at its relaxed geometry at the PBE level of DFT. Values from VASP.

Values from the calculation:
- symmetry = No. 221
- total magnetization (Bohr magnetons per cell) = 8.88
- theoretical density (kg/m³) = 5550
- raw formation energy (meV per atom) = 794

```
&SYSTEM
  ibrav = 0, nat = 5, ntyp = 3
/
ATOMIC_SPECIES
V 50.94 V.upf
Re 186.21 Re.upf
Br 79.90 Br.upf
CELL_PARAMETERS angstrom
5.225 0.000 0.000
0.000 5.225 0.000
0.000 0.000 5.225
ATOMIC_POSITIONS angstrom
V 0.000 0.000 0.000
Re 2.613 2.613 2.613
Br 0.000 0.000 2.613
Br 0.000 2.613 0.000
Br 2.613 0.000 0.000
```

---

# 3
Computed, not measured: crystalline AlAuI at its relaxed geometry at the PBE level of DFT. Values from VASP.

Values from the calculation:
- symmetry = No. 2
- total magnetization (Bohr magnetons per cell) = 0.00
- theoretical density (kg/m³) = 5707
- raw formation energy (meV per atom) = -308

```
&SYSTEM
  ibrav = 0, nat = 6, ntyp = 3
/
ATOMIC_SPECIES
Al 26.98 Al.upf
I 126.90 I.upf
Au 196.97 Au.upf
CELL_PARAMETERS angstrom
-1.393 0.305 -4.169
-3.257 -4.081 -1.532
-8.114 4.937 0.873
ATOMIC_POSITIONS angstrom
Al -6.833 -1.830 -2.436
Al -5.931 2.992 -2.392
I -10.002 1.410 -3.475
I -2.762 -0.248 -1.353
Au -6.793 -0.689 -4.694
Au -5.971 1.851 -0.135
```

---

# 4
Computed, not measured: crystalline TbScPdAu at its relaxed geometry at the PBE level of DFT. Values from VASP.

Values from the calculation:
- symmetry = No. 216
- total magnetization (Bohr magnetons per cell) = 0.00
- theoretical density (kg/m³) = 10062
- formation enthalpy at 0 K (kJ per mole of atoms) = -78.9

```
&SYSTEM
  ibrav = 0, nat = 4, ntyp = 4
/
ATOMIC_SPECIES
Tb 158.93 Tb.upf
Pd 106.42 Pd.upf
Sc 44.96 Sc.upf
Au 196.97 Au.upf
CELL_PARAMETERS angstrom
-0.178 2.350 4.308
-4.144 2.221 1.416
-2.639 -1.856 3.702
ATOMIC_POSITIONS angstrom
Tb -5.221 2.037 7.069
Pd -3.480 1.358 4.713
Sc -1.740 0.679 2.356
Au 0.000 0.000 0.000
```

---

# 5
Computed, not measured: crystalline CaAcZr at its relaxed geometry at the PBE level of DFT. Values from VASP.

Values from the calculation:
- symmetry = No. 12
- total magnetization (Bohr magnetons per cell) = 0.00
- theoretical density (kg/m³) = 5618
- formation enthalpy at 0 K (kJ per mole of atoms) = 37.2

```
&SYSTEM
  ibrav = 0, nat = 6, ntyp = 3
/
ATOMIC_SPECIES
Ac 227.00 Ac.upf
Ca 40.08 Ca.upf
Zr 91.22 Zr.upf
CELL_PARAMETERS angstrom
-5.831 -3.471 -1.959
-4.663 -5.252 0.749
-8.756 1.930 5.047
ATOMIC_POSITIONS angstrom
Ac -10.614 -5.921 0.685
Ac -8.737 1.875 5.002
Ca -8.319 -1.044 2.902
Ca -11.032 -3.002 2.785
Zr -2.729 -1.935 -0.095
Zr -7.865 -4.041 0.736
```

---

# 6
Computed, not measured: crystalline Rb2NaHSe at its relaxed geometry at the PBE level of DFT. Values from VASP.

Values from the calculation:
- symmetry = No. 123
- total magnetization (Bohr magnetons per cell) = 0.00
- E_tot (eV/cell) = -11.03
- theoretical density (kg/m³) = 2410

```
&SYSTEM
  ibrav = 0, nat = 5, ntyp = 4
/
ATOMIC_SPECIES
Na 22.99 Na.upf
Se 78.96 Se.upf
Rb 85.47 Rb.upf
H 1.01 H.upf
CELL_PARAMETERS angstrom
-6.222 -0.569 -2.929
-1.036 -2.686 2.724
-2.376 5.042 4.069
ATOMIC_POSITIONS angstrom
Na -4.817 0.893 1.932
Se 0.000 0.000 0.000
Rb -1.188 2.521 2.034
Rb -3.111 -0.284 -1.464
H -0.518 -1.343 1.362
```

---

# 7
Computed, not measured: crystalline Pr4Nd3Pt2 at its relaxed geometry at the PBE level of DFT. Values from VASP.

Values from the calculation:
- symmetry = No. 12
- total magnetization (Bohr magnetons per cell) = 0.00
- theoretical density (kg/m³) = 7860
- formation enthalpy at 0 K (kJ per mole of atoms) = -46.3

```
&SYSTEM
  ibrav = 0, nat = 9, ntyp = 3
/
ATOMIC_SPECIES
Pr 140.91 Pr.upf
Nd 144.24 Nd.upf
Pt 195.08 Pt.upf
CELL_PARAMETERS angstrom
-3.384 -1.865 0.509
4.437 -8.262 -0.777
1.356 3.769 7.911
ATOMIC_POSITIONS angstrom
Pr 2.142 -7.501 1.680
Pr -0.357 -2.225 4.399
Pr 0.267 1.142 5.963
Pr 2.766 -4.134 3.244
Nd 2.219 -4.131 -0.388
Nd 0.761 -1.103 1.021
Nd 1.648 -5.255 6.622
Pt 2.231 -2.470 5.788
Pt 0.178 -3.888 1.855
```

---

# 8
Computed, not measured: crystalline LaPm2Nd3Sm6 at its relaxed geometry at the PBE level of DFT. Values from VASP.

Values from the calculation:
- symmetry = No. 12
- total magnetization (Bohr magnetons per cell) = 0.00
- theoretical density (kg/m³) = 7049
- formation enthalpy at 0 K (kJ per mole of atoms) = 1.3

```
&SYSTEM
  ibrav = 0, nat = 12, ntyp = 4
/
ATOMIC_SPECIES
Sm 150.36 Sm.upf
Nd 144.24 Nd.upf
Pm 145.00 Pm.upf
La 138.91 La.upf
CELL_PARAMETERS angstrom
-2.710 1.126 -5.623
-3.599 -1.396 5.033
1.361 11.687 2.880
ATOMIC_POSITIONS angstrom
Sm -1.389 2.436 2.353
Sm -3.856 8.138 3.496
Sm -1.092 3.278 -1.207
Sm -0.560 8.692 2.010
Sm -4.387 2.725 0.279
Sm -3.559 8.981 -0.063
Nd -2.770 4.868 4.695
Nd -2.178 6.549 -2.406
Nd -2.474 5.708 1.145
Pm -3.006 0.285 -2.070
Pm -3.302 -0.555 1.480
La 0.000 0.000 0.000
```

---

# 9
Computed, not measured: crystalline PrPuP2 at its relaxed geometry at the PBE level of DFT. Values from VASP.

Values from the calculation:
- symmetry = No. 160
- total magnetization (Bohr magnetons per cell) = 4.97
- theoretical density (kg/m³) = 7521
- formation enthalpy at 0 K (kJ per mole of atoms) = -113.6

```
&SYSTEM
  ibrav = 0, nat = 4, ntyp = 3
/
ATOMIC_SPECIES
Pu 244.00 Pu.upf
P 30.97 P.upf
Pr 140.91 Pr.upf
CELL_PARAMETERS angstrom
4.057 0.000 0.000
2.029 3.514 0.000
2.029 1.171 6.921
ATOMIC_POSITIONS angstrom
Pu 6.086 3.514 6.872
P 2.029 1.171 5.325
P 2.029 1.171 1.584
Pr 4.057 2.342 3.521
```

---

# 10
Computed, not measured: crystalline SrTlP3 at its relaxed geometry at the PBE level of DFT. Values from VASP.

Values from the calculation:
- symmetry = No. 221
- total magnetization (Bohr magnetons per cell) = 0.00
- theoretical density (kg/m³) = 3730
- formation enthalpy at 0 K (kJ per mole of atoms) = 96.6

```
&SYSTEM
  ibrav = 0, nat = 5, ntyp = 3
/
ATOMIC_SPECIES
Sr 87.62 Sr.upf
P 30.97 P.upf
Tl 204.38 Tl.upf
CELL_PARAMETERS angstrom
-0.791 -5.123 1.994
3.617 1.032 4.087
-4.140 1.880 3.189
ATOMIC_POSITIONS angstrom
Sr 0.000 0.000 0.000
P 1.808 0.516 2.044
P -0.396 -2.562 0.997
P -2.070 0.940 1.595
Tl -0.658 -1.106 4.635
```

---

# 11
Computed, not measured: crystalline PtAu6 at its relaxed geometry at the PBE level of DFT. Values from VASP.

Values from the calculation:
- symmetry = No. 229
- total magnetization (Bohr magnetons per cell) = 0.17
- theoretical density (kg/m³) = 11243
- formation enthalpy at 0 K (kJ per mole of atoms) = 108.1

```
&SYSTEM
  ibrav = 0, nat = 7, ntyp = 2
/
ATOMIC_SPECIES
Pt 195.08 Pt.upf
Au 196.97 Au.upf
CELL_PARAMETERS angstrom
6.417 0.000 0.000
-2.139 6.050 0.000
-2.139 -3.025 5.239
ATOMIC_POSITIONS angstrom
Pt 0.000 0.000 0.000
Au 3.208 2.269 1.310
Au 3.208 0.000 2.620
Au 1.069 3.781 1.310
Au 1.069 -0.756 3.929
Au -1.069 0.756 3.929
Au -1.069 3.025 2.620
```

---

# 12
Computed, not measured: crystalline Nd2InGa2Pd5 at its relaxed geometry at the PBE level of DFT. Values from VASP.

Values from the calculation:
- symmetry = No. 127
- total magnetization (Bohr magnetons per cell) = 0.00
- theoretical density (kg/m³) = 9243
- formation enthalpy at 0 K (kJ per mole of atoms) = -67.5

```
&SYSTEM
  ibrav = 0, nat = 20, ntyp = 4
/
ATOMIC_SPECIES
Ga 69.72 Ga.upf
In 114.82 In.upf
Pd 106.42 Pd.upf
Nd 144.24 Nd.upf
CELL_PARAMETERS angstrom
-3.720 -0.236 0.337
0.966 -9.186 4.226
0.561 4.287 9.192
ATOMIC_POSITIONS angstrom
Ga 0.434 -2.967 2.712
Ga 0.465 1.553 6.215
Ga 1.063 -6.452 7.203
Ga 1.094 -1.932 10.705
In 0.764 -2.450 6.709
In 0.000 0.000 0.000
Pd -1.274 -2.904 4.680
Pd -0.927 -4.767 7.201
Pd -0.835 -7.835 6.070
Pd -1.579 2.026 4.764
Pd -1.265 -0.368 6.554
Pd -0.571 -3.346 12.129
Pd -1.377 -4.711 2.282
Pd -1.357 2.699 7.684
Pd -0.918 -2.231 9.074
Pd -1.622 -1.789 1.626
Nd 0.755 -5.463 4.495
Nd 0.353 -0.249 3.714
Nd 0.773 0.564 8.922
Nd 1.175 -4.651 9.703
```